one:
LiNdSO: relaxed, PBE.

Results
theoretical density: 5.31 g/cm³

The structure in CIF format:
```
data_LiNdSO
_chemical_formula_sum 'Li2 Nd2 S2 O2'
_cell_length_a 4.417
_cell_length_b 4.124
_cell_length_c 6.846
_cell_angle_alpha 90.00
_cell_angle_beta 90.00
_cell_angle_gamma 90.00
_symmetry_space_group_name_H-M 'P m c 21'
_symmetry_Int_Tables_number 26
_symmetry_space_group_name_Hall 'P 2c -2'
loop_
_atom_site_label
_atom_site_type_symbol
_atom_site_fract_x
_atom_site_fract_y
_atom_site_fract_z
Li1 Li 0.000 0.233 0.000
Nd1 Nd 0.500 0.263 0.342
S1 S 0.000 0.266 0.660
O1 O 0.500 0.235 0.004
```


two:
LiNdSO: relaxed, PBE.

Results
theoretical density: 5.29 g/cm³

The structure in CIF format:
```
data_LiNdSO
_chemical_formula_sum 'Li4 Nd4 S4 O4'
_cell_length_a 5.817
_cell_length_b 6.775
_cell_length_c 6.382
_cell_angle_alpha 90.00
_cell_angle_beta 96.07
_cell_angle_gamma 90.00
_symmetry_space_group_name_H-M 'P 1 21/c 1'
_symmetry_Int_Tables_number 14
_symmetry_space_group_name_Hall '-P 2ybc'
loop_
_atom_site_label
_atom_site_type_symbol
_atom_site_fract_x
_atom_site_fract_y
_atom_site_fract_z
Li1 Li 0.104 0.205 0.027
Nd1 Nd 0.376 0.561 0.233
S1 S 0.119 0.580 0.774
O1 O 0.427 0.225 0.986
```


three:
LiNdSO: relaxed, PBE.

Results
theoretical density: 4.38 g/cm³

The structure in CIF format:
```
data_LiNdSO
_chemical_formula_sum 'Li4 Nd4 S4 O4'
_cell_length_a 5.758
_cell_length_b 9.268
_cell_length_c 5.661
_cell_angle_alpha 90.00
_cell_angle_beta 90.00
_cell_angle_gamma 90.00
_symmetry_space_group_name_H-M 'P c a 21'
_symmetry_Int_Tables_number 29
_symmetry_space_group_name_Hall 'P 2c -2ac'
loop_
_atom_site_label
_atom_site_type_symbol
_atom_site_fract_x
_atom_site_fract_y
_atom_site_fract_z
Li1 Li 0.125 0.044 0.000
Nd1 Nd 0.006 0.309 0.604
S1 S 0.010 0.647 0.605
O1 O 0.079 0.090 0.659
```


Which one is most stable, and which one is least stable? two is the most stable of them, while three is the least stable.


one:
LiNdTeO: relaxed, PBE.

Results
theoretical density: 5.97 g/cm³

The structure in CIF format:
```
data_LiNdTeO
_chemical_formula_sum 'Li2 Nd2 Te2 O2'
_cell_length_a 4.159
_cell_length_b 4.159
_cell_length_c 9.475
_cell_angle_alpha 90.00
_cell_angle_beta 90.00
_cell_angle_gamma 90.00
_symmetry_space_group_name_H-M 'P 4/n m m'
_symmetry_Int_Tables_number 129
loop_
_symmetry_equiv_pos_as_xyz
'x,y,z'
'-x,-y,-z'
'-y+1/2,x,z'
'y+1/2,-x,-z'
'-x+1/2,-y+1/2,z'
'x+1/2,y+1/2,-z'
'y,-x+1/2,z'
'-y,x+1/2,-z'
'x+1/2,-y,-z'
'-x+1/2,y,z'
'-y,-x,-z'
'y,x,z'
'-x,y+1/2,-z'
'x,-y+1/2,z'
'y+1/2,x+1/2,-z'
'-y+1/2,-x+1/2,z'
loop_
_atom_site_label
_atom_site_type_symbol
_atom_site_fract_x
_atom_site_fract_y
_atom_site_fract_z
Li1 Li 0.250 0.750 0.000
Nd1 Nd 0.250 0.250 0.381
Te1 Te 0.250 0.250 0.815
O1 O 0.250 0.750 0.500
```


two:
LiNdTeO: relaxed, PBE.

Results
theoretical density: 6.02 g/cm³

The structure in CIF format:
```
data_LiNdTeO
_chemical_formula_sum 'Li4 Nd4 Te4 O4'
_cell_length_a 6.351
_cell_length_b 7.715
_cell_length_c 6.703
_cell_angle_alpha 90.00
_cell_angle_beta 98.27
_cell_angle_gamma 90.00
_symmetry_space_group_name_H-M 'P 1 21/c 1'
_symmetry_Int_Tables_number 14
_symmetry_space_group_name_Hall '-P 2ybc'
loop_
_atom_site_label
_atom_site_type_symbol
_atom_site_fract_x
_atom_site_fract_y
_atom_site_fract_z
Li1 Li 0.149 0.233 0.480
Nd1 Nd 0.399 0.607 0.772
Te1 Te 0.132 0.548 0.281
O1 O 0.431 0.178 0.415
```


three:
LiNdTeO: relaxed, PBE.

Results
theoretical density: 5.82 g/cm³

The structure in CIF format:
```
data_LiNdTeO
_chemical_formula_sum 'Li2 Nd2 Te2 O2'
_cell_length_a 4.266
_cell_length_b 5.592
_cell_length_c 7.050
_cell_angle_alpha 90.00
_cell_angle_beta 90.00
_cell_angle_gamma 90.00
_symmetry_space_group_name_H-M 'P m c 21'
_symmetry_Int_Tables_number 26
_symmetry_space_group_name_Hall 'P 2c -2'
loop_
_atom_site_label
_atom_site_type_symbol
_atom_site_fract_x
_atom_site_fract_y
_atom_site_fract_z
Li1 Li 0.000 0.238 0.000
Nd1 Nd 0.500 0.368 0.332
Te1 Te 0.000 0.218 0.633
O1 O 0.500 0.310 0.020
```


Which one is most stable, and which one is least stable? one is the most stable of them, while three is the least stable.


one:
SrLiNdS3: relaxed, PBE.

Results
theoretical density: 3.90 g/cm³

The structure in CIF format:
```
data_SrLiNdS3
_chemical_formula_sum 'Sr4 Li4 Nd4 S12'
_cell_length_a 17.327
_cell_length_b 4.054
_cell_length_c 8.398
_cell_angle_alpha 90.00
_cell_angle_beta 104.52
_cell_angle_gamma 90.00
_symmetry_space_group_name_H-M 'C 1 2/m 1'
_symmetry_Int_Tables_number 12
_symmetry_space_group_name_Hall '-C 2y'
loop_
_atom_site_label
_atom_site_type_symbol
_atom_site_fract_x
_atom_site_fract_y
_atom_site_fract_z
Sr1 Sr 0.131 0.000 0.064
Li1 Li 0.001 0.500 0.300
Nd1 Nd 0.166 0.000 0.593
S1 S 0.000 0.000 0.500
S2 S 0.000 0.500 0.000
S3 S 0.165 0.500 0.354
S4 S 0.176 0.500 0.825
```


two:
SrLiNdS3: relaxed, PBE.

Results
theoretical density: 3.93 g/cm³

The structure in CIF format:
```
data_SrLiNdS3
_chemical_formula_sum 'Sr4 Li4 Nd4 S12'
_cell_length_a 10.747
_cell_length_b 4.081
_cell_length_c 12.912
_cell_angle_alpha 90.00
_cell_angle_beta 90.00
_cell_angle_gamma 90.00
_symmetry_space_group_name_H-M 'P n m a'
_symmetry_Int_Tables_number 62
_symmetry_space_group_name_Hall '-P 2ac 2n'
loop_
_atom_site_label
_atom_site_type_symbol
_atom_site_fract_x
_atom_site_fract_y
_atom_site_fract_z
Sr1 Sr 0.204 0.250 0.002
Li1 Li 0.229 0.750 0.773
Nd1 Nd 0.019 0.750 0.273
S1 S 0.044 0.750 0.875
S2 S 0.110 0.250 0.399
S3 S 0.240 0.250 0.672
```


three:
SrLiNdS3: relaxed, PBE.

Results
theoretical density: 3.92 g/cm³

The structure in CIF format:
```
data_SrLiNdS3
_chemical_formula_sum 'Sr4 Li4 Nd4 S12'
_cell_length_a 4.074
_cell_length_b 13.065
_cell_length_c 10.664
_cell_angle_alpha 90.00
_cell_angle_beta 90.00
_cell_angle_gamma 90.00
_symmetry_space_group_name_H-M 'C m c m'
_symmetry_Int_Tables_number 63
_symmetry_space_group_name_Hall '-C 2c 2'
loop_
_atom_site_label
_atom_site_type_symbol
_atom_site_fract_x
_atom_site_fract_y
_atom_site_fract_z
Sr1 Sr 0.000 0.250 0.250
Li1 Li 0.000 0.024 0.750
Nd1 Nd 0.000 0.500 0.000
S1 S 0.000 0.137 0.576
S2 S 0.000 0.421 0.750
```


Which one is most stable, and which one is least stable? one is the most stable of them, while three is the least stable.


one:
SrLiNdSe3: relaxed, PBE.

Results
theoretical density: 4.93 g/cm³

The structure in CIF format:
```
data_SrLiNdSe3
_chemical_formula_sum 'Sr4 Li4 Nd4 Se12'
_cell_length_a 4.237
_cell_length_b 13.657
_cell_length_c 11.070
_cell_angle_alpha 90.00
_cell_angle_beta 90.00
_cell_angle_gamma 90.00
_symmetry_space_group_name_H-M 'C m c m'
_symmetry_Int_Tables_number 63
_symmetry_space_group_name_Hall '-C 2c 2'
loop_
_atom_site_label
_atom_site_type_symbol
_atom_site_fract_x
_atom_site_fract_y
_atom_site_fract_z
Sr1 Sr 0.000 0.248 0.250
Li1 Li 0.000 0.476 0.750
Nd1 Nd 0.000 0.000 0.000
Se1 Se 0.000 0.081 0.750
Se2 Se 0.000 0.360 0.573
```


two:
SrLiNdSe3: relaxed, PBE.

Results
theoretical density: 4.92 g/cm³

The structure in CIF format:
```
data_SrLiNdSe3
_chemical_formula_sum 'Sr4 Li4 Nd4 Se12'
_cell_length_a 11.134
_cell_length_b 4.245
_cell_length_c 13.577
_cell_angle_alpha 90.00
_cell_angle_beta 90.00
_cell_angle_gamma 90.00
_symmetry_space_group_name_H-M 'P n m a'
_symmetry_Int_Tables_number 62
_symmetry_space_group_name_Hall '-P 2ac 2n'
loop_
_atom_site_label
_atom_site_type_symbol
_atom_site_fract_x
_atom_site_fract_y
_atom_site_fract_z
Sr1 Sr 0.210 0.250 0.001
Li1 Li 0.231 0.750 0.229
Nd1 Nd 0.019 0.750 0.733
Se1 Se 0.046 0.750 0.120
Se2 Se 0.104 0.250 0.602
Se3 Se 0.238 0.250 0.332
```


Which one is most stable, and which one is least stable? two is the most stable of them, while one is the least stable.


one:
LiNdZnSe3: relaxed, PBE.

Results
theoretical density: 5.16 g/cm³

The structure in CIF format:
```
data_LiNdZnSe3
_chemical_formula_sum 'Li4 Nd4 Zn4 Se12'
_cell_length_a 12.019
_cell_length_b 4.125
_cell_length_c 11.779
_cell_angle_alpha 90.00
_cell_angle_beta 90.00
_cell_angle_gamma 90.00
_symmetry_space_group_name_H-M 'P n m a'
_symmetry_Int_Tables_number 62
_symmetry_space_group_name_Hall '-P 2ac 2n'
loop_
_atom_site_label
_atom_site_type_symbol
_atom_site_fract_x
_atom_site_fract_y
_atom_site_fract_z
Li1 Li 0.120 0.250 0.011
Nd1 Nd 0.034 0.250 0.681
Zn1 Zn 0.241 0.250 0.290
Se1 Se 0.067 0.750 0.866
Se2 Se 0.097 0.250 0.432
Se3 Se 0.213 0.750 0.170
```


two:
LiNdZnSe3: relaxed, PBE.

Results
theoretical density: 4.66 g/cm³

The structure in CIF format:
```
data_LiNdZnSe3
_chemical_formula_sum 'Li4 Nd4 Zn4 Se12'
_cell_length_a 13.795
_cell_length_b 4.093
_cell_length_c 11.436
_cell_angle_alpha 90.00
_cell_angle_beta 90.00
_cell_angle_gamma 90.00
_symmetry_space_group_name_H-M 'P n m a'
_symmetry_Int_Tables_number 62
_symmetry_space_group_name_Hall '-P 2ac 2n'
loop_
_atom_site_label
_atom_site_type_symbol
_atom_site_fract_x
_atom_site_fract_y
_atom_site_fract_z
Li1 Li 0.212 0.250 0.190
Nd1 Nd 0.042 0.750 0.847
Zn1 Zn 0.028 0.250 0.598
Se1 Se 0.079 0.250 0.383
Se2 Se 0.103 0.750 0.089
Se3 Se 0.165 0.250 0.738
```


Which one is most stable, and which one is least stable? two is the most stable of them, while one is the least stable.


one:
LiNdZnSe3: relaxed, PBE.

Results
theoretical density: 4.72 g/cm³

The structure in CIF format:
```
data_LiNdZnSe3
_chemical_formula_sum 'Li2 Nd2 Zn2 Se6'
_cell_length_a 7.917
_cell_length_b 4.093
_cell_length_c 10.043
_cell_angle_alpha 90.00
_cell_angle_beta 101.45
_cell_angle_gamma 90.00
_symmetry_space_group_name_H-M 'P 1 21/m 1'
_symmetry_Int_Tables_number 11
_symmetry_space_group_name_Hall '-P 2yb'
loop_
_atom_site_label
_atom_site_type_symbol
_atom_site_fract_x
_atom_site_fract_y
_atom_site_fract_z
Li1 Li 0.169 0.250 0.124
Nd1 Nd 0.333 0.750 0.842
Zn1 Zn 0.076 0.250 0.603
Se1 Se 0.063 0.250 0.848
Se2 Se 0.228 0.750 0.537
Se3 Se 0.401 0.750 0.145
```


two:
LiNdZnSe3: relaxed, PBE.

Results
theoretical density: 5.03 g/cm³

The structure in CIF format:
```
data_LiNdZnSe3
_chemical_formula_sum 'Li4 Nd4 Zn4 Se12'
_cell_length_a 19.555
_cell_length_b 4.045
_cell_length_c 7.904
_cell_angle_alpha 90.00
_cell_angle_beta 106.62
_cell_angle_gamma 90.00
_symmetry_space_group_name_H-M 'C 1 2/m 1'
_symmetry_Int_Tables_number 12
_symmetry_space_group_name_Hall '-C 2y'
loop_
_atom_site_label
_atom_site_type_symbol
_atom_site_fract_x
_atom_site_fract_y
_atom_site_fract_z
Li1 Li 0.104 0.000 0.094
Nd1 Nd 0.179 0.000 0.609
Zn1 Zn 0.038 0.500 0.729
Se1 Se 0.000 0.000 0.500
Se2 Se 0.000 0.500 0.000
Se3 Se 0.166 0.500 0.863
Se4 Se 0.169 0.500 0.338
```


three:
LiNdZnSe3: relaxed, PBE.

Results
theoretical density: 5.05 g/cm³

The structure in CIF format:
```
data_LiNdZnSe3
_chemical_formula_sum 'Li4 Nd4 Zn4 Se12'
_cell_length_a 11.266
_cell_length_b 4.068
_cell_length_c 13.006
_cell_angle_alpha 90.00
_cell_angle_beta 90.00
_cell_angle_gamma 90.00
_symmetry_space_group_name_H-M 'P n m a'
_symmetry_Int_Tables_number 62
_symmetry_space_group_name_Hall '-P 2ac 2n'
loop_
_atom_site_label
_atom_site_type_symbol
_atom_site_fract_x
_atom_site_fract_y
_atom_site_fract_z
Li1 Li 0.227 0.250 0.027
Nd1 Nd 0.001 0.250 0.260
Zn1 Zn 0.250 0.250 0.725
Se1 Se 0.077 0.750 0.110
Se2 Se 0.088 0.250 0.598
Se3 Se 0.245 0.750 0.841
```


four:
LiNdZnSe3: relaxed, PBE.

Results
theoretical density: 5.11 g/cm³

The structure in CIF format:
```
data_LiNdZnSe3
_chemical_formula_sum 'Li4 Nd4 Zn4 Se12'
_cell_length_a 8.251
_cell_length_b 4.162
_cell_length_c 17.153
_cell_angle_alpha 90.00
_cell_angle_beta 90.00
_cell_angle_gamma 90.00
_symmetry_space_group_name_H-M 'P n m a'
_symmetry_Int_Tables_number 62
_symmetry_space_group_name_Hall '-P 2ac 2n'
loop_
_atom_site_label
_atom_site_type_symbol
_atom_site_fract_x
_atom_site_fract_y
_atom_site_fract_z
Li1 Li 0.105 0.250 0.238
Nd1 Nd 0.234 0.250 0.551
Zn1 Zn 0.141 0.250 0.856
Se1 Se 0.002 0.250 0.089
Se2 Se 0.126 0.750 0.443
Se3 Se 0.190 0.250 0.719
```


Which one is most stable, and which one is least stable? one is the most stable of them, while two is the least stable.